one | {
  "formula": "CaNCl2",
  "functional": "PBE",
  "state": "optimized geometry",
  "total_magnetization_mub_per_atom": 0.749,
  "spacegroup": "No. 4",
  "lattice_angstrom": [[7.178, 0.000, 0.000], [0.000, 4.147, 0.000], [-2.753, 0.000, 8.403]],
  "species": ["Ca", "Ca", "N", "N", "Cl", "Cl", "Cl", "Cl"],
  "frac_coords": [[0.250, 0.000, 0.000], [0.750, 0.500, 0.000], [0.250, 0.501, 0.499], [0.750, 0.001, 0.501], [0.020, 0.500, 0.834], [0.480, 0.500, 0.166], [0.520, 0.000, 0.834], [0.980, 0.000, 0.166]]
}

---

two | {
  "formula": "CaNCl2",
  "functional": "PBE",
  "state": "optimized geometry",
  "total_magnetization_mub_per_atom": 0.750,
  "spacegroup": "No. 122",
  "lattice_angstrom": [[-3.516, 3.516, 6.399], [3.516, -3.516, 6.399], [3.516, 3.516, -6.399]],
  "species": ["Ca", "Ca", "N", "N", "Cl", "Cl", "Cl", "Cl"],
  "frac_coords": [[0.000, 0.000, 0.000], [0.750, 0.250, 0.500], [0.250, 0.750, 0.500], [0.500, 0.500, 0.000], [0.033, 0.625, 0.908], [0.375, 0.283, 0.408], [0.717, 0.125, 0.092], [0.875, 0.967, 0.592]]
}

---

three | {
  "formula": "CaNCl2",
  "functional": "PBE",
  "state": "optimized geometry",
  "total_magnetization_mub_per_atom": 0.750,
  "spacegroup": "No. 225",
  "lattice_angstrom": [[0.000, 3.450, 3.450], [3.450, 0.000, 3.450], [3.450, 3.450, 0.000]],
  "species": ["Ca", "N", "Cl", "Cl"],
  "frac_coords": [[0.000, 0.000, 0.000], [0.500, 0.500, 0.500], [0.250, 0.250, 0.250], [0.750, 0.750, 0.750]]
}

---

four | {
  "formula": "CaNCl2",
  "functional": "PBE",
  "state": "optimized geometry",
  "total_magnetization_mub_per_atom": 0.250,
  "spacegroup": "No. 166",
  "lattice_angstrom": [[2.145, 1.239, 6.803], [-2.145, 1.239, 6.803], [0.000, -2.477, 6.803]],
  "species": ["Ca", "N", "Cl", "Cl"],
  "frac_coords": [[0.000, 0.000, 0.000], [0.500, 0.500, 0.500], [0.395, 0.395, 0.395], [0.605, 0.605, 0.605]]
}

---

Stability summary - winner: one; margin: 98 meV/atom.

---

one | {
  "formula": "Ca3NCl3",
  "functional": "PBE",
  "state": "optimized geometry",
  "total_magnetization_mub_per_atom": 0.010,
  "spacegroup": "No. 12",
  "lattice_angstrom": [[3.954, -6.215, 0.000], [3.954, 6.215, 0.000], [-1.336, 0.000, 7.061]],
  "species": ["Ca", "Ca", "Ca", "Ca", "Ca", "Ca", "N", "N", "Cl", "Cl", "Cl", "Cl", "Cl", "Cl"],
  "frac_coords": [[0.094, 0.094, 0.324], [0.176, 0.454, 0.762], [0.454, 0.176, 0.762], [0.546, 0.824, 0.238], [0.824, 0.546, 0.238], [0.906, 0.906, 0.676], [0.182, 0.182, 0.639], [0.818, 0.818, 0.361], [0.187, 0.813, 0.000], [0.264, 0.736, 0.500], [0.374, 0.374, 0.142], [0.626, 0.626, 0.858], [0.736, 0.264, 0.500], [0.813, 0.187, 0.000]]
}

---

two | {
  "formula": "Ca3NCl3",
  "functional": "PBE",
  "state": "optimized geometry",
  "total_magnetization_mub_per_atom": 0.010,
  "spacegroup": "No. 11",
  "lattice_angstrom": [[7.863, 0.000, 0.000], [0.000, 3.801, 0.000], [-0.687, 0.000, 10.809]],
  "species": ["Ca", "Ca", "Ca", "Ca", "Ca", "Ca", "N", "N", "Cl", "Cl", "Cl", "Cl", "Cl", "Cl"],
  "frac_coords": [[0.087, 0.250, 0.394], [0.134, 0.250, 0.851], [0.331, 0.750, 0.629], [0.669, 0.250, 0.371], [0.866, 0.750, 0.149], [0.913, 0.750, 0.606], [0.126, 0.250, 0.625], [0.874, 0.750, 0.375], [0.114, 0.250, 0.128], [0.375, 0.750, 0.377], [0.376, 0.750, 0.878], [0.624, 0.250, 0.122], [0.625, 0.250, 0.623], [0.886, 0.750, 0.872]]
}

---

Stability summary - winner: two; margin: 96 meV/atom.

---

one | {
  "formula": "RbCa2NCl",
  "functional": "PBE",
  "state": "optimized geometry",
  "total_magnetization_mub_per_atom": 0.044,
  "spacegroup": "No. 123",
  "lattice_angstrom": [[4.673, 0.000, 0.000], [0.000, 4.673, 0.000], [0.000, 0.000, 11.204]],
  "species": ["Rb", "Ca", "Ca", "N", "Cl"],
  "frac_coords": [[0.000, 0.000, 0.000], [0.000, 0.500, 0.500], [0.500, 0.000, 0.500], [0.500, 0.500, 0.500], [0.500, 0.500, 0.000]]
}

---

two | {
  "formula": "RbCa2NCl",
  "functional": "PBE",
  "state": "optimized geometry",
  "total_magnetization_mub_per_atom": 0.000,
  "spacegroup": "No. 123",
  "lattice_angstrom": [[6.288, 0.000, 0.000], [0.000, 6.288, 0.000], [0.000, 0.000, 4.445]],
  "species": ["Rb", "Ca", "Ca", "N", "Cl"],
  "frac_coords": [[0.000, 0.000, 0.000], [0.000, 0.500, 0.000], [0.500, 0.000, 0.000], [0.000, 0.000, 0.500], [0.500, 0.500, 0.500]]
}

---

Stability summary - winner: one; margin: 1565 meV/atom.

---

one | {
  "formula": "CaSNCl2",
  "functional": "PBE",
  "state": "optimized geometry",
  "total_magnetization_mub_per_atom": 0.070,
  "spacegroup": "No. 123",
  "lattice_angstrom": [[4.532, 0.000, 0.000], [0.000, 4.532, 0.000], [0.000, 0.000, 4.345]],
  "species": ["Ca", "S", "N", "Cl", "Cl"],
  "frac_coords": [[0.000, 0.000, 0.000], [0.500, 0.500, 0.000], [0.500, 0.500, 0.500], [0.000, 0.500, 0.500], [0.500, 0.000, 0.500]]
}

---

two | {
  "formula": "CaSNCl2",
  "functional": "PBE",
  "state": "optimized geometry",
  "total_magnetization_mub_per_atom": 1.001,
  "spacegroup": "No. 123",
  "lattice_angstrom": [[5.375, 0.000, 0.000], [0.000, 5.375, 0.000], [0.000, 0.000, 5.813]],
  "species": ["Ca", "S", "N", "Cl", "Cl"],
  "frac_coords": [[0.000, 0.000, 0.000], [0.000, 0.000, 0.500], [0.500, 0.500, 0.500], [0.000, 0.500, 0.000], [0.500, 0.000, 0.000]]
}

---

Stability summary - winner: one; margin: 337 meV/atom.

---

one | {
  "formula": "CaSN2Cl",
  "functional": "PBE",
  "state": "optimized geometry",
  "total_magnetization_mub_per_atom": 0.999,
  "spacegroup": "No. 123",
  "lattice_angstrom": [[4.647, 0.000, 0.000], [0.000, 4.647, 0.000], [0.000, 0.000, 5.678]],
  "species": ["Ca", "S", "N", "N", "Cl"],
  "frac_coords": [[0.000, 0.000, 0.000], [0.000, 0.000, 0.500], [0.000, 0.500, 0.000], [0.500, 0.000, 0.000], [0.500, 0.500, 0.500]]
}

---

two | {
  "formula": "CaSN2Cl",
  "functional": "PBE",
  "state": "optimized geometry",
  "total_magnetization_mub_per_atom": 0.150,
  "spacegroup": "No. 123",
  "lattice_angstrom": [[4.126, 0.000, 0.000], [0.000, 4.126, 0.000], [0.000, 0.000, 4.476]],
  "species": ["Ca", "S", "N", "N", "Cl"],
  "frac_coords": [[0.000, 0.000, 0.000], [0.500, 0.500, 0.000], [0.000, 0.500, 0.500], [0.500, 0.000, 0.500], [0.500, 0.500, 0.500]]
}

---

Stability summary - winner: two; margin: 198 meV/atom.

---

one | {
  "formula": "Na2CaCl4",
  "functional": "PBE",
  "state": "optimized geometry",
  "total_magnetization_mub_per_atom": 0.000,
  "spacegroup": "No. 55",
  "lattice_angstrom": [[7.078, 0.000, 0.000], [0.000, 12.459, 0.000], [0.000, 0.000, 4.073]],
  "species": ["Na", "Na", "Na", "Na", "Ca", "Ca", "Cl", "Cl", "Cl", "Cl", "Cl", "Cl", "Cl", "Cl"],
  "frac_coords": [[0.078, 0.181, 0.000], [0.422, 0.681, 0.000], [0.578, 0.319, 0.000], [0.922, 0.819, 0.000], [0.000, 0.500, 0.500], [0.500, 0.000, 0.500], [0.136, 0.706, 0.500], [0.248, 0.960, 0.000], [0.252, 0.460, 0.000], [0.364, 0.206, 0.500], [0.636, 0.794, 0.500], [0.748, 0.540, 0.000], [0.752, 0.040, 0.000], [0.864, 0.294, 0.500]]
}

---

two | {
  "formula": "Na2CaCl4",
  "functional": "PBE",
  "state": "optimized geometry",
  "total_magnetization_mub_per_atom": 0.000,
  "spacegroup": "No. 139",
  "lattice_angstrom": [[-2.679, 2.679, 7.311], [2.679, -2.679, 7.311], [2.679, 2.679, -7.311]],
  "species": ["Na", "Na", "Ca", "Cl", "Cl", "Cl", "Cl"],
  "frac_coords": [[0.139, 0.139, 0.000], [0.861, 0.861, 0.000], [0.500, 0.500, 0.000], [0.000, 0.500, 0.500], [0.318, 0.318, 0.000], [0.500, 0.000, 0.500], [0.682, 0.682, 0.000]]
}

---

three | {
  "formula": "Na2CaCl4",
  "functional": "PBE",
  "state": "optimized geometry",
  "total_magnetization_mub_per_atom": 0.000,
  "spacegroup": "No. 12",
  "lattice_angstrom": [[7.143, -2.059, 0.000], [7.143, 2.059, 0.000], [-3.076, 0.000, 6.375]],
  "species": ["Na", "Na", "Ca", "Cl", "Cl", "Cl", "Cl"],
  "frac_coords": [[0.208, 0.208, 0.187], [0.792, 0.792, 0.813], [0.500, 0.500, 0.500], [0.131, 0.131, 0.489], [0.379, 0.379, 0.081], [0.621, 0.621, 0.919], [0.869, 0.869, 0.511]]
}

---

Stability summary - winner: one; margin: 19 meV/atom.

---

one | {
  "formula": "NaCa2Cl",
  "functional": "PBE",
  "state": "optimized geometry",
  "total_magnetization_mub_per_atom": 0.000,
  "spacegroup": "No. 122",
  "lattice_angstrom": [[-4.416, 4.416, 3.804], [4.416, -4.416, 3.804], [4.416, 4.416, -3.804]],
  "species": ["Na", "Na", "Ca", "Ca", "Ca", "Ca", "Cl", "Cl"],
  "frac_coords": [[0.000, 0.000, 0.000], [0.750, 0.250, 0.500], [0.204, 0.125, 0.579], [0.375, 0.796, 0.921], [0.546, 0.625, 0.421], [0.875, 0.454, 0.079], [0.250, 0.750, 0.500], [0.500, 0.500, 0.000]]
}

---

two | {
  "formula": "NaCa2Cl",
  "functional": "PBE",
  "state": "optimized geometry",
  "total_magnetization_mub_per_atom": 0.000,
  "spacegroup": "No. 166",
  "lattice_angstrom": [[1.883, 1.087, 11.380], [-1.883, 1.087, 11.380], [0.000, -2.175, 11.380]],
  "species": ["Na", "Ca", "Ca", "Cl"],
  "frac_coords": [[0.000, 0.000, 0.000], [0.104, 0.104, 0.104], [0.896, 0.896, 0.896], [0.500, 0.500, 0.500]]
}

---

three | {
  "formula": "NaCa2Cl",
  "functional": "PBE",
  "state": "optimized geometry",
  "total_magnetization_mub_per_atom": 0.000,
  "spacegroup": "No. 225",
  "lattice_angstrom": [[0.000, 4.091, 4.091], [4.091, 0.000, 4.091], [4.091, 4.091, 0.000]],
  "species": ["Na", "Ca", "Ca", "Cl"],
  "frac_coords": [[0.000, 0.000, 0.000], [0.250, 0.250, 0.250], [0.750, 0.750, 0.750], [0.500, 0.500, 0.500]]
}

---

Stability summary - winner: two; margin: 41 meV/atom.

---

one | {
  "formula": "NaCaP2Cl",
  "functional": "PBE",
  "state": "optimized geometry",
  "total_magnetization_mub_per_atom": 0.186,
  "spacegroup": "No. 123",
  "lattice_angstrom": [[4.899, 0.000, 0.000], [0.000, 4.899, 0.000], [0.000, 0.000, 5.210]],
  "species": ["Na", "Ca", "P", "P", "Cl"],
  "frac_coords": [[0.000, 0.000, 0.000], [0.500, 0.500, 0.500], [0.000, 0.500, 0.000], [0.500, 0.000, 0.000], [0.000, 0.000, 0.500]]
}

---

two | {
  "formula": "NaCaP2Cl",
  "functional": "PBE",
  "state": "optimized geometry",
  "total_magnetization_mub_per_atom": 0.404,
  "spacegroup": "No. 123",
  "lattice_angstrom": [[5.502, 0.000, 0.000], [0.000, 5.502, 0.000], [0.000, 0.000, 5.360]],
  "species": ["Na", "Ca", "P", "P", "Cl"],
  "frac_coords": [[0.000, 0.000, 0.000], [0.500, 0.500, 0.500], [0.000, 0.500, 0.500], [0.500, 0.000, 0.500], [0.500, 0.500, 0.000]]
}

---

Stability summary - winner: two; margin: 152 meV/atom.